The following is a DFT calculation (GGA-PBE) of crystalline Cd2CuSb at its relaxed geometry.

```
4
Lattice="-1.431 1.693 3.749 -2.108 -3.710 0.870 3.651 -1.580 2.107" Properties=species:S:1:pos:R:3 pbc="T T T"
Sb 0.771 -2.645 1.489
Cd 0.000 0.000 0.000
Cd -1.770 -1.009 2.310
Cu 1.110 0.056 2.928
```

Computed properties:
* E_form (uncorrected): 190 meV/atom
* volume: 21.34 Å³ per atom